1.
# U (GGA-PBE, optimized geometry)
data_U
_chemical_formula_sum 'U2'
_space_group_name_H-M_alt 'P 1'
_space_group_IT_number 1
_space_group_name_Hall 'P 1'
_cell_length_a 3.7537
_cell_length_b 3.7538
_cell_length_c 3.7404
_cell_angle_alpha 95.46
_cell_angle_beta 95.47
_cell_angle_gamma 127.48
loop_
_atom_site_label
_atom_site_type_symbol
_atom_site_fract_x
_atom_site_fract_y
_atom_site_fract_z
U1 U 0.8552 0.1448 0.7500
U2 U 0.1448 0.8552 0.2500
# energy above the most stable polymorph in this dataset: 339 meV/atom
# DFT formation energy: 0.339 eV/atom

2.
# U (GGA-PBE, optimized geometry)
data_U
_chemical_formula_sum 'U6'
_space_group_name_H-M_alt 'P 1'
_space_group_IT_number 1
_space_group_name_Hall 'P 1'
_cell_length_a 6.1111
_cell_length_b 6.1111
_cell_length_c 5.3983
_cell_angle_alpha 53.75
_cell_angle_beta 53.75
_cell_angle_gamma 81.97
loop_
_atom_site_label
_atom_site_type_symbol
_atom_site_fract_x
_atom_site_fract_y
_atom_site_fract_z
U1 U 0.1605 0.8395 0.7500
U2 U 0.8395 0.1605 0.2500
U3 U 0.2129 0.3785 0.4077
U4 U 0.7871 0.6215 0.5923
U5 U 0.3785 0.2129 0.9077
U6 U 0.6215 0.7871 0.0923
# energy above the most stable polymorph in this dataset: 190 meV/atom
# DFT formation energy: 0.190 eV/atom

3.
# U (GGA-PBE, optimized geometry)
data_U
_chemical_formula_sum 'U8'
_space_group_name_H-M_alt 'P 1'
_space_group_IT_number 1
_space_group_name_Hall 'P 1'
_cell_length_a 4.8935
_cell_length_b 5.1599
_cell_length_c 6.5750
_cell_angle_alpha 90.00
_cell_angle_beta 90.00
_cell_angle_gamma 90.00
loop_
_atom_site_label
_atom_site_type_symbol
_atom_site_fract_x
_atom_site_fract_y
_atom_site_fract_z
U1 U 0.7500 0.3018 0.4481
U2 U 0.2500 0.2000 0.2819
U3 U 0.7500 0.7000 0.2181
U4 U 0.2500 0.6982 0.5519
U5 U 0.7500 0.1982 0.9481
U6 U 0.7500 0.8000 0.7181
U7 U 0.2500 0.3000 0.7819
U8 U 0.2500 0.8018 0.0519
# energy above the most stable polymorph in this dataset: 38 meV/atom
# DFT formation energy: 0.038 eV/atom

4.
# U (GGA-PBE, optimized geometry)
data_U
_chemical_formula_sum 'U3'
_space_group_name_H-M_alt 'P 1'
_space_group_IT_number 1
_space_group_name_Hall 'P 1'
_cell_length_a 2.7492
_cell_length_b 5.0270
_cell_length_c 5.0270
_cell_angle_alpha 119.98
_cell_angle_beta 90.00
_cell_angle_gamma 90.00
loop_
_atom_site_label
_atom_site_type_symbol
_atom_site_fract_x
_atom_site_fract_y
_atom_site_fract_z
U1 U 0.5000 0.6666 0.3334
U2 U 0.0000 0.0000 0.0000
U3 U 0.5000 0.3334 0.6666
# energy above the most stable polymorph in this dataset: 196 meV/atom
# DFT formation energy: 0.196 eV/atom

Question: The lowest energy above the most stable polymorph in this dataset belongs to which entry?
Answer: number 3

Question: What is the formula in the fourth record?
Answer: U

Question: DFT formation energy of number 3 (U)?
Answer: 0.038 eV/atom